A relaxed structure of Sc3CrPt. Source: Alexandria, functional GGA-PBE.

Cell lengths 5.0731, 5.0731, 5.0731 Å; angles 90.00, 90.00, 90.00 degrees
Last column: magnetic moment on the atom in μB.
Sites, in units of the cell vectors:
Sc (0.5000, 0.0000, 0.0000)  -0.20
Sc (0.0000, 0.0000, 0.5000)  -0.01
Sc (0.0000, 0.5000, 0.0000)  -0.08
Cr (0.5000, 0.5000, 0.5000)  3.94
Pt (0.0000, 0.0000, 0.0000)  0.02

## Properties
As for the excess energy over the best structure of this formula in the dataset: 0 meV/atom. The volume comes out at 26.11 Å³ per atom. Its magnetization is 4.20 μB per cell. The density of states at the Fermi level comes out at 7.9 states/eV/cell.